[1]
Computed, not measured: Nd12Y2Ho5 after structural relaxation at the PBE level of DFT.

Cell: 10.443 9.394 8.057 Å, 87.97 90.00 123.77°
Fractional positions:
Nd1 0.144 0.289 0.883
Nd2 0.039 0.621 0.794
Nd3 0.582 0.621 0.794
Nd4 0.167 0.788 0.388
Nd5 0.620 0.788 0.388
Nd6 0.447 0.895 0.711
Nd7 0.553 0.105 0.289
Nd8 0.833 0.212 0.612
Nd9 0.380 0.212 0.612
Nd10 0.961 0.379 0.206
Nd11 0.418 0.379 0.206
Nd12 0.856 0.711 0.117
Y1 0.746 0.000 0.000
Y2 0.254 0.000 0.000
Ho1 0.244 0.488 0.511
Ho2 0.348 0.696 0.089
Ho3 0.000 0.000 0.500
Ho4 0.652 0.304 0.911
Ho5 0.756 0.512 0.489

Properties
Fermi-level density of states: 27.2 states/eV/f.u.
Space-group type: C2/m (12)
Uncorrected energy: -4.764 eV per atom
ΔE_f: 132 meV per atom

***

[2]
Computed, not measured: Dy4Ho5Sc after structural relaxation at the PBE level of DFT.

Cell: 3.442 10.813 8.853 Å, 73.34 101.21 90.00°
Fractional positions:
Dy1 0.304 0.083 0.608
Dy2 0.908 0.809 0.816
Dy3 0.696 0.917 0.392
Dy4 0.092 0.191 0.184
Ho1 0.793 0.598 0.587
Ho2 0.894 0.286 0.788
Ho3 0.106 0.714 0.212
Ho4 0.500 0.500 0.000
Ho5 0.207 0.402 0.413
Sc1 0.500 0.000 0.000

Properties
Energy above the most stable polymorph in this dataset: 0.0000 eV/atom
Fermi-level density of states: 17.4 states/eV/f.u.
Space-group type: C2/m (12)
Uncorrected energy: -4.648 eV per atom
ΔE_f: 115 meV per atom